# TbLuNiAg PBE relaxed
data_TbLuNiAg
_chemical_formula_sum 'Tb4 Lu4 Ni4 Ag4'
_space_group_name_H-M_alt 'F -4 3 m'
_space_group_IT_number 216
_space_group_name_Hall 'F -4 2 3'
_cell_length_a 6.971
_cell_length_b 6.971
_cell_length_c 6.971
_cell_angle_alpha 90.00
_cell_angle_beta 90.00
_cell_angle_gamma 90.00
loop_
_atom_site_label
_atom_site_type_symbol
_atom_site_fract_x
_atom_site_fract_y
_atom_site_fract_z
_atom_site_occupancy
Tb1 Tb 0.000 0.000 0.000 1
Lu1 Lu 0.000 0.000 0.500 1
Ni1 Ni 0.250 0.250 0.250 1
Ag1 Ag 0.250 0.250 0.750 1
# Spin magnetization (μB/f.u.): 0.00
# Electronic total energy (eV per formula unit): -19.109
# ΔE_f (eV/atom): -0.33
# Crystal system: cubic



# LuThNiAg PBE relaxed
data_LuThNiAg
_chemical_formula_sum 'Lu4 Th4 Ni4 Ag4'
_space_group_name_H-M_alt 'F -4 3 m'
_space_group_IT_number 216
_space_group_name_Hall 'F -4 2 3'
_cell_length_a 7.114
_cell_length_b 7.114
_cell_length_c 7.114
_cell_angle_alpha 90.00
_cell_angle_beta 90.00
_cell_angle_gamma 90.00
loop_
_atom_site_label
_atom_site_type_symbol
_atom_site_fract_x
_atom_site_fract_y
_atom_site_fract_z
_atom_site_occupancy
Lu1 Lu 0.000 0.000 0.000 1
Th1 Th 0.000 0.000 0.500 1
Ni1 Ni 0.250 0.250 0.750 1
Ag1 Ag 0.250 0.250 0.250 1
# Spin magnetization (μB/f.u.): 0.00
# Electronic total energy (eV per formula unit): -21.395
# ΔE_f (eV/atom): -0.21
# Crystal system: cubic



# LuTlNiAg PBE relaxed
data_LuTlNiAg
_chemical_formula_sum 'Lu4 Tl4 Ni4 Ag4'
_space_group_name_H-M_alt 'F -4 3 m'
_space_group_IT_number 216
_space_group_name_Hall 'F -4 2 3'
_cell_length_a 6.754
_cell_length_b 6.754
_cell_length_c 6.754
_cell_angle_alpha 90.00
_cell_angle_beta 90.00
_cell_angle_gamma 90.00
loop_
_atom_site_label
_atom_site_type_symbol
_atom_site_fract_x
_atom_site_fract_y
_atom_site_fract_z
_atom_site_occupancy
Lu1 Lu 0.000 0.000 0.000 1
Tl1 Tl 0.000 0.000 0.500 1
Ni1 Ni 0.250 0.250 0.750 1
Ag1 Ag 0.250 0.250 0.250 1
# Spin magnetization (μB/f.u.): 0.00
# Electronic total energy (eV per formula unit): -16.086
# ΔE_f (eV/atom): -0.14
# Crystal system: cubic